1.
# Ac3TiGe4 | Alexandria | GGA-PBE | relaxed
data_Ac3TiGe4
_chemical_formula_sum 'Ac6 Ti2 Ge8'
_symmetry_space_group_name_H-M 'P 1'
_symmetry_Int_Tables_number 1
_symmetry_space_group_name_Hall 'P 1'
_cell_length_a 11.0380
_cell_length_b 6.7573
_cell_length_c 6.1006
_cell_angle_alpha 90.00
_cell_angle_beta 90.00
_cell_angle_gamma 90.00
loop_
_atom_site_label
_atom_site_type_symbol
_atom_site_fract_x
_atom_site_fract_y
_atom_site_fract_z
_atom_site_occupancy
Ac1 Ac 0.0000 0.0751 0.0000 1
Ac2 Ac 0.2312 0.3040 0.4768 1
Ac3 Ac 0.2688 0.6960 0.9768 1
Ac4 Ac 0.5000 0.9249 0.5000 1
Ac5 Ac 0.7312 0.6960 0.9768 1
Ac6 Ac 0.7688 0.3040 0.4768 1
Ti1 Ti 0.0000 0.6157 0.4701 1
Ti2 Ti 0.5000 0.3843 0.9701 1
Ge1 Ge 0.0000 0.0133 0.5023 1
Ge2 Ge 0.0000 0.5404 0.0337 1
Ge3 Ge 0.2025 0.8098 0.4806 1
Ge4 Ge 0.2975 0.1902 0.9806 1
Ge5 Ge 0.5000 0.4596 0.5337 1
Ge6 Ge 0.5000 0.9867 0.0023 1
Ge7 Ge 0.7025 0.1902 0.9806 1
Ge8 Ge 0.7975 0.8098 0.4806 1
# D(E_F) (states/eV/f.u.): 4.2
# E (eV per atom): -5.233
# Theoretical density (Mg/m³): 7.4


2.
# TcMo2HRu | Alexandria | GGA-PBE | relaxed
data_TcMo2HRu
_chemical_formula_sum 'Tc1 Mo2 H1 Ru1'
_symmetry_space_group_name_H-M 'P 1'
_symmetry_Int_Tables_number 1
_symmetry_space_group_name_Hall 'P 1'
_cell_length_a 3.9962
_cell_length_b 3.9962
_cell_length_c 3.8999
_cell_angle_alpha 90.00
_cell_angle_beta 90.00
_cell_angle_gamma 90.00
loop_
_atom_site_label
_atom_site_type_symbol
_atom_site_fract_x
_atom_site_fract_y
_atom_site_fract_z
_atom_site_occupancy
Tc1 Tc 0.0000 0.0000 0.0000 1
Mo1 Mo 0.0000 0.5000 0.5000 1
Mo2 Mo 0.5000 0.0000 0.5000 1
H1 H 0.5000 0.5000 0.5000 1
Ru1 Ru 0.5000 0.5000 0.0000 1
# E above lowest polymorph (meV/atom): 0.0
# D(E_F) (states/eV/f.u.): 4.2
# E (eV per atom): -8.860
# Theoretical density (Mg/m³): 10.5


3.
# CaHg2Ge2 | Alexandria | GGA-PBE | relaxed
data_CaHg2Ge2
_chemical_formula_sum 'Ca2 Hg4 Ge4'
_symmetry_space_group_name_H-M 'P 1'
_symmetry_Int_Tables_number 1
_symmetry_space_group_name_Hall 'P 1'
_cell_length_a 7.6506
_cell_length_b 7.6506
_cell_length_c 4.1377
_cell_angle_alpha 90.00
_cell_angle_beta 90.00
_cell_angle_gamma 90.00
loop_
_atom_site_label
_atom_site_type_symbol
_atom_site_fract_x
_atom_site_fract_y
_atom_site_fract_z
_atom_site_occupancy
Ca1 Ca 0.0000 0.0000 0.0000 1
Ca2 Ca 0.5000 0.5000 0.0000 1
Hg1 Hg 0.1799 0.3201 0.5000 1
Hg2 Hg 0.3201 0.8201 0.5000 1
Hg3 Hg 0.6799 0.1799 0.5000 1
Hg4 Hg 0.8201 0.6799 0.5000 1
Ge1 Ge 0.1164 0.6164 0.0000 1
Ge2 Ge 0.3836 0.1164 0.0000 1
Ge3 Ge 0.6164 0.8836 0.0000 1
Ge4 Ge 0.8836 0.3836 0.0000 1
# E above lowest polymorph (meV/atom): 73.3
# D(E_F) (states/eV/f.u.): 2.0
# E (eV per atom): -2.443
# Theoretical density (Mg/m³): 8.0


4.
# TaBe2Hg | Alexandria | GGA-PBE | relaxed
data_TaBe2Hg
_chemical_formula_sum 'Ta1 Be2 Hg1'
_symmetry_space_group_name_H-M 'P 1'
_symmetry_Int_Tables_number 1
_symmetry_space_group_name_Hall 'P 1'
_cell_length_a 5.3043
_cell_length_b 5.3043
_cell_length_c 5.3043
_cell_angle_alpha 146.97
_cell_angle_beta 135.07
_cell_angle_gamma 56.88
loop_
_atom_site_label
_atom_site_type_symbol
_atom_site_fract_x
_atom_site_fract_y
_atom_site_fract_z
_atom_site_occupancy
Ta1 Ta 0.0000 0.0000 0.0000 1
Be1 Be 0.2769 0.7769 0.5000 1
Be2 Be 0.4714 0.4714 0.0000 1
Hg1 Hg 0.7234 0.2234 0.5000 1
# D(E_F) (states/eV/f.u.): 2.0
# E (eV per atom): -4.490
# Theoretical density (Mg/m³): 11.6


5.
# Tb2GaPd | Alexandria | GGA-PBE | relaxed
data_Tb2GaPd
_chemical_formula_sum 'Tb2 Ga1 Pd1'
_symmetry_space_group_name_H-M 'P 1'
_symmetry_Int_Tables_number 1
_symmetry_space_group_name_Hall 'P 1'
_cell_length_a 3.5118
_cell_length_b 3.5118
_cell_length_c 7.3021
_cell_angle_alpha 90.00
_cell_angle_beta 90.00
_cell_angle_gamma 90.00
loop_
_atom_site_label
_atom_site_type_symbol
_atom_site_fract_x
_atom_site_fract_y
_atom_site_fract_z
_atom_site_occupancy
Tb1 Tb 0.0000 0.0000 0.2417 1
Tb2 Tb 0.0000 0.0000 0.7583 1
Ga1 Ga 0.5000 0.5000 0.5000 1
Pd1 Pd 0.5000 0.5000 0.0000 1
# D(E_F) (states/eV/f.u.): 2.2
# E (eV per atom): -5.098
# Theoretical density (Mg/m³): 9.1


6.
# NpAl2Pd | Alexandria | GGA-PBE | relaxed
data_NpAl2Pd
_chemical_formula_sum 'Np1 Al2 Pd1'
_symmetry_space_group_name_H-M 'P 1'
_symmetry_Int_Tables_number 1
_symmetry_space_group_name_Hall 'P 1'
_cell_length_a 2.7740
_cell_length_b 2.7740
_cell_length_c 8.3435
_cell_angle_alpha 90.00
_cell_angle_beta 90.00
_cell_angle_gamma 90.00
loop_
_atom_site_label
_atom_site_type_symbol
_atom_site_fract_x
_atom_site_fract_y
_atom_site_fract_z
_atom_site_occupancy
Np1 Np 0.0000 0.0000 0.0000 1
Al1 Al 0.5000 0.5000 0.2816 1
Al2 Al 0.5000 0.5000 0.7184 1
Pd1 Pd 0.0000 0.0000 0.5000 1
# D(E_F) (states/eV/f.u.): 3.9
# E (eV per atom): -6.787
# Theoretical density (Mg/m³): 10.3


7.
# KGaIr | Alexandria | GGA-PBE | relaxed
data_KGaIr
_chemical_formula_sum 'K2 Ga2 Ir2'
_symmetry_space_group_name_H-M 'P 1'
_symmetry_Int_Tables_number 1
_symmetry_space_group_name_Hall 'P 1'
_cell_length_a 4.4617
_cell_length_b 4.4617
_cell_length_c 9.0150
_cell_angle_alpha 90.00
_cell_angle_beta 90.00
_cell_angle_gamma 90.00
loop_
_atom_site_label
_atom_site_type_symbol
_atom_site_fract_x
_atom_site_fract_y
_atom_site_fract_z
_atom_site_occupancy
K1 K 0.2500 0.2500 0.2044 1
K2 K 0.7500 0.7500 0.7956 1
Ga1 Ga 0.2500 0.2500 0.6155 1
Ga2 Ga 0.7500 0.7500 0.3845 1
Ir1 Ir 0.2500 0.7500 0.5000 1
Ir2 Ir 0.7500 0.2500 0.5000 1
# D(E_F) (states/eV/f.u.): 1.1
# E (eV per atom): -4.453
# Theoretical density (Mg/m³): 5.6


8.
# Ca3HoPb12 | Alexandria | GGA-PBE | relaxed
data_Ca3HoPb12
_chemical_formula_sum 'Ca3 Ho1 Pb12'
_symmetry_space_group_name_H-M 'P 1'
_symmetry_Int_Tables_number 1
_symmetry_space_group_name_Hall 'P 1'
_cell_length_a 4.9065
_cell_length_b 4.9065
_cell_length_c 19.8366
_cell_angle_alpha 90.00
_cell_angle_beta 90.00
_cell_angle_gamma 90.00
loop_
_atom_site_label
_atom_site_type_symbol
_atom_site_fract_x
_atom_site_fract_y
_atom_site_fract_z
_atom_site_occupancy
Ca1 Ca 0.0000 0.0000 0.0000 1
Ca2 Ca 0.0000 0.0000 0.2522 1
Ca3 Ca 0.0000 0.0000 0.7478 1
Ho1 Ho 0.0000 0.0000 0.5000 1
Pb1 Pb 0.0000 0.5000 0.1254 1
Pb2 Pb 0.0000 0.5000 0.3770 1
Pb3 Pb 0.0000 0.5000 0.6230 1
Pb4 Pb 0.0000 0.5000 0.8746 1
Pb5 Pb 0.5000 0.0000 0.1254 1
Pb6 Pb 0.5000 0.0000 0.3770 1
Pb7 Pb 0.5000 0.0000 0.6230 1
Pb8 Pb 0.5000 0.0000 0.8746 1
Pb9 Pb 0.5000 0.5000 0.0000 1
Pb10 Pb 0.5000 0.5000 0.2508 1
Pb11 Pb 0.5000 0.5000 0.5000 1
Pb12 Pb 0.5000 0.5000 0.7492 1
# D(E_F) (states/eV/f.u.): 9.9
# E (eV per atom): -3.746
# Theoretical density (Mg/m³): 9.6


Repeat the fourth record exactly.
# TaBe2Hg | Alexandria | GGA-PBE | relaxed
data_TaBe2Hg
_chemical_formula_sum 'Ta1 Be2 Hg1'
_symmetry_space_group_name_H-M 'P 1'
_symmetry_Int_Tables_number 1
_symmetry_space_group_name_Hall 'P 1'
_cell_length_a 5.3043
_cell_length_b 5.3043
_cell_length_c 5.3043
_cell_angle_alpha 146.97
_cell_angle_beta 135.07
_cell_angle_gamma 56.88
loop_
_atom_site_label
_atom_site_type_symbol
_atom_site_fract_x
_atom_site_fract_y
_atom_site_fract_z
_atom_site_occupancy
Ta1 Ta 0.0000 0.0000 0.0000 1
Be1 Be 0.2769 0.7769 0.5000 1
Be2 Be 0.4714 0.4714 0.0000 1
Hg1 Hg 0.7234 0.2234 0.5000 1
# D(E_F) (states/eV/f.u.): 2.0
# E (eV per atom): -4.490
# Theoretical density (Mg/m³): 11.6


What did the third record say?
# CaHg2Ge2 | Alexandria | GGA-PBE | relaxed
data_CaHg2Ge2
_chemical_formula_sum 'Ca2 Hg4 Ge4'
_symmetry_space_group_name_H-M 'P 1'
_symmetry_Int_Tables_number 1
_symmetry_space_group_name_Hall 'P 1'
_cell_length_a 7.6506
_cell_length_b 7.6506
_cell_length_c 4.1377
_cell_angle_alpha 90.00
_cell_angle_beta 90.00
_cell_angle_gamma 90.00
loop_
_atom_site_label
_atom_site_type_symbol
_atom_site_fract_x
_atom_site_fract_y
_atom_site_fract_z
_atom_site_occupancy
Ca1 Ca 0.0000 0.0000 0.0000 1
Ca2 Ca 0.5000 0.5000 0.0000 1
Hg1 Hg 0.1799 0.3201 0.5000 1
Hg2 Hg 0.3201 0.8201 0.5000 1
Hg3 Hg 0.6799 0.1799 0.5000 1
Hg4 Hg 0.8201 0.6799 0.5000 1
Ge1 Ge 0.1164 0.6164 0.0000 1
Ge2 Ge 0.3836 0.1164 0.0000 1
Ge3 Ge 0.6164 0.8836 0.0000 1
Ge4 Ge 0.8836 0.3836 0.0000 1
# E above lowest polymorph (meV/atom): 73.3
# D(E_F) (states/eV/f.u.): 2.0
# E (eV per atom): -2.443
# Theoretical density (Mg/m³): 8.0


Question: Which of these has the highest theoretical density?
Answer: TaBe2Hg